Here is a relaxed NiPO2F crystal from Alexandria via LeMat-Bulk. Energies are from PBE with a Hubbard U.

N(E_F), states/eV per cell: 0.875
Total moment, μB/f.u.: 1.0
Crystal system: tetragonal
DFT total energy, eV per atom: -4.698

a = 3.3350 Å, b = 3.3350 Å, c = 5.1245 Å
α = 90.00°, β = 90.00°, γ = 90.00°
Space group P4/mmm (No. 123)
Symmetry-distinct sites (fractional):
Ni 0.0000 0.0000 0.0000
P 0.5000 0.5000 0.5000
O 0.0000 0.5000 0.5000
F 0.5000 0.5000 0.0000